Record 1
! Lu4Sb3Mo2N3 PBE optimized geometry; values from VASP
&SYSTEM
  ibrav = 0, nat = 24, ntyp = 4
/
ATOMIC_SPECIES
N 14.01 N.upf
Mo 95.94 Mo.upf
Lu 174.97 Lu.upf
Sb 121.76 Sb.upf
ATOMIC_POSITIONS angstrom
N 7.201 -11.052 2.843
N 0.910 1.233 2.607
Mo 7.317 -9.335 4.300
Lu 7.480 -9.595 1.049
Sb 4.371 -8.802 4.124
Sb 1.518 -2.466 3.278
Mo 0.540 -0.071 4.679
Mo 4.353 -5.807 3.964
Lu 3.753 -3.786 1.765
Sb 6.339 -6.940 5.702
Sb 3.486 -0.604 4.856
N 3.019 -5.936 1.882
Lu 4.644 -6.405 0.320
Lu 1.103 -0.440 1.037
Mo 3.504 -3.599 5.016
Lu 4.104 -5.620 7.214
Lu 0.377 0.189 7.930
N 0.656 1.645 6.136
N 2.633 -5.635 5.410
Lu 6.754 -8.966 7.943
Lu 3.213 -3.001 8.660
N 5.224 -3.772 3.569
Sb 6.553 -7.175 2.569
Sb 1.304 -2.231 6.410
CELL_PARAMETERS angstrom
1.820 2.466 5.215
-2.776 -1.397 5.189
8.813 -10.475 -1.424
! - Electronic total energy: -173.93 eV per cell

Record 2
! LiPdNO PBE optimized geometry; values from VASP
&SYSTEM
  ibrav = 0, nat = 8, ntyp = 4
/
ATOMIC_SPECIES
N 14.01 N.upf
O 16.00 O.upf
Pd 106.42 Pd.upf
Li 6.94 Li.upf
ATOMIC_POSITIONS angstrom
N 1.556 3.333 5.204
O -0.816 2.306 0.574
Pd 4.211 1.249 4.054
Li 1.680 3.168 3.136
Li 0.936 1.511 4.420
N 1.030 1.383 2.382
Pd -0.715 2.336 2.600
O -1.561 0.648 1.859
CELL_PARAMETERS angstrom
-0.587 3.313 0.080
-2.077 -0.002 2.648
5.660 0.895 4.439
! - Energy relative to the lowest polymorph listed for this composition: 2.02 eV per formula unit

Record 3
! La2TbHg3PdAu2 PBE optimized geometry; values from VASP
&SYSTEM
  ibrav = 0, nat = 9, ntyp = 5
/
ATOMIC_SPECIES
Hg 200.59 Hg.upf
La 138.91 La.upf
Au 196.97 Au.upf
Pd 106.42 Pd.upf
Tb 158.93 Tb.upf
ATOMIC_POSITIONS angstrom
Hg 0.322 6.242 -0.196
La 4.323 2.072 -0.382
Au 2.232 4.271 -1.299
La -3.694 2.551 1.725
Au -2.091 4.529 -0.163
Pd 0.003 0.021 0.006
Hg 1.381 1.503 -1.988
Hg -2.000 1.705 -1.100
Tb 0.413 3.031 0.881
CELL_PARAMETERS angstrom
-0.894 1.190 -3.674
-6.125 4.222 2.858
7.166 3.428 -0.635
! - Energy relative to the elements: -0.690 eV/atom

Record 4
! CsNd2HSe4 PBE optimized geometry; values from VASP
&SYSTEM
  ibrav = 0, nat = 16, ntyp = 4
/
ATOMIC_SPECIES
Se 78.96 Se.upf
Nd 144.24 Nd.upf
H 1.01 H.upf
Cs 132.91 Cs.upf
ATOMIC_POSITIONS angstrom
Se -3.587 2.328 1.063
Nd -0.550 -2.373 1.792
Nd -2.476 3.486 8.048
Se 0.000 0.000 0.000
Se -1.989 3.972 11.058
H -4.901 5.121 2.521
Cs 1.608 -4.309 5.591
Nd -0.301 -0.352 7.471
H 2.123 -1.987 12.997
Se 0.810 0.807 14.455
Nd -2.227 5.507 13.726
Se 0.321 2.603 7.316
Se 0.623 -0.703 10.212
Se -3.400 3.837 5.306
Cs -4.385 7.444 9.928
Se -0.788 -0.838 4.461
CELL_PARAMETERS angstrom
-5.810 4.905 -1.490
2.390 -6.977 2.377
0.643 5.206 14.631
! - Electronic total energy: -76.52 eV per cell

Record 5
! ZrBi2Pt PBE optimized geometry; values from VASP
&SYSTEM
  ibrav = 0, nat = 4, ntyp = 3
/
ATOMIC_SPECIES
Bi 208.98 Bi.upf
Zr 91.22 Zr.upf
Pt 195.08 Pt.upf
ATOMIC_POSITIONS angstrom
Bi 0.000 0.000 0.000
Bi 1.812 1.812 1.812
Zr 3.624 3.624 3.624
Pt 5.437 5.437 5.437
CELL_PARAMETERS angstrom
0.000 3.624 3.624
3.624 0.000 3.624
3.624 3.624 0.000
! - Electronic total energy: -22.67 eV per cell

Record 6
! CsSmCoTe3 PBE optimized geometry; values from VASP
&SYSTEM
  ibrav = 0, nat = 24, ntyp = 4
/
ATOMIC_SPECIES
Cs 132.91 Cs.upf
Te 127.60 Te.upf
Sm 150.36 Sm.upf
Co 58.93 Co.upf
ATOMIC_POSITIONS angstrom
Cs -2.466 0.751 6.820
Te -4.473 1.370 10.421
Te -2.952 -2.133 9.125
Sm -6.051 -1.489 9.531
Te -0.319 -1.249 1.477
Co -6.877 -4.078 12.657
Te -0.424 -2.185 5.399
Te -3.590 -3.599 3.611
Co -6.493 -5.666 5.524
Te -8.248 -7.399 6.144
Te -8.434 -3.529 10.719
Te -0.610 1.685 9.974
Te -5.268 -2.115 12.507
Te -4.385 -7.084 5.697
Co -1.982 -1.636 3.461
Cs -6.392 -6.465 9.298
Te -5.907 -3.581 6.993
Sm -2.807 -4.225 6.587
Cs -4.797 -6.722 1.888
Sm -6.336 -9.806 5.501
Co -2.365 -0.047 10.594
Sm -2.522 4.092 10.617
Te -8.540 -4.464 14.641
Cs -4.061 1.008 14.230
CELL_PARAMETERS angstrom
-8.331 -9.154 1.907
3.213 -2.463 2.214
-3.741 5.904 11.997
! - Electronic total energy: -107.21 eV per cell

Record 7
! Tb4DyZn5 PBE optimized geometry; values from VASP
&SYSTEM
  ibrav = 0, nat = 10, ntyp = 3
/
ATOMIC_SPECIES
Tb 158.93 Tb.upf
Zn 65.41 Zn.upf
Dy 162.50 Dy.upf
ATOMIC_POSITIONS angstrom
Tb 9.440 2.957 4.087
Zn 3.710 3.675 2.779
Tb 6.290 1.970 2.724
Zn 6.857 4.661 4.142
Zn 0.550 2.685 1.411
Tb 3.140 0.984 1.360
Tb 12.589 3.944 5.451
Dy 0.000 0.000 0.000
Zn 10.005 5.647 5.505
Zn 13.165 6.637 6.873
CELL_PARAMETERS angstrom
-0.372 3.232 -1.480
-1.643 1.163 2.953
15.730 4.928 6.811
! - Energy relative to the elements: -0.342 eV/atom

Record 8
! NdF PBE optimized geometry; values from VASP
&SYSTEM
  ibrav = 0, nat = 2, ntyp = 2
/
ATOMIC_SPECIES
Nd 144.24 Nd.upf
F 19.00 F.upf
ATOMIC_POSITIONS angstrom
Nd -1.134 1.996 -0.827
F 0.000 0.000 0.000
CELL_PARAMETERS angstrom
-2.012 3.273 1.058
0.448 3.373 -2.075
-2.973 1.339 -2.291
! - Energy relative to the lowest polymorph listed for this composition: 0.02 eV per formula unit

Question: Which formula does entry 4 have?
Answer: CsNd2HSe4